Below is a relaxed MgSbSeI2 crystal, with properties calculated at the GGA-PBEsol level.

Lattice parameters (Å, degrees): 5.3017 5.3017 5.7925 90.00 90.00 90.00
Fractional positions:
Mg1 0.0000 0.0000 0.0000
Sb1 0.0000 0.0000 0.5000
Se1 0.5000 0.5000 0.5000
I1 0.0000 0.5000 0.0000
I2 0.5000 0.0000 0.0000

**Formation energy from raw total energies**: 283 meV per atom
**V**: 32.6 Å³/atom
**SG**: P4/mmm, No. 123



Below is a relaxed MgSb2SeI crystal, with properties calculated at the GGA-PBEsol level.

Lattice parameters (Å, degrees): 5.4215 5.4215 5.4543 90.00 90.00 90.00
Fractional positions:
Mg1 0.0000 0.0000 0.0000
Sb1 0.0000 0.5000 0.5000
Sb2 0.5000 0.0000 0.5000
Se1 0.5000 0.5000 0.5000
I1 0.5000 0.5000 0.0000

**Formation energy from raw total energies**: 475 meV per atom
**V**: 32.1 Å³/atom
**SG**: P4/mmm, No. 123



Below is a relaxed MgZrSb2I crystal, with properties calculated at the GGA-PBEsol level.

Lattice parameters (Å, degrees): 5.2149 5.2149 5.4197 90.00 90.00 90.00
Fractional positions:
Mg1 0.0000 0.0000 0.0000
Zr1 0.5000 0.5000 0.5000
Sb1 0.0000 0.5000 0.0000
Sb2 0.5000 0.0000 0.0000
I1 0.0000 0.0000 0.5000

**Formation energy from raw total energies**: 607 meV per atom
**V**: 29.5 Å³/atom
**SG**: P4/mmm, No. 123



Below is a relaxed MgSc2I crystal, with properties calculated at the GGA-PBEsol level.

Lattice parameters (Å, degrees): 10.4184 10.4184 10.4184 19.68 19.68 19.68
Fractional positions:
Mg1 0.0000 0.0000 0.0000
Sc1 0.4104 0.4104 0.4104
Sc2 0.5896 0.5896 0.5896
I1 0.5000 0.5000 0.5000

**Formation energy from raw total energies**: 3 meV per atom
**V**: 28.0 Å³/atom
**SG**: R-3m, No. 166



Number 1: uncorrected energy -0.1800 Ry/atom. Number 2: uncorrected energy -0.2069 Ry/atom. Number 3: uncorrected energy -0.2742 Ry/atom. Number 4: uncorrected energy -0.3065 Ry/atom.